Compound: Y4BiSb
Source: Alexandria
Functional: GGA-PBE
Structure: relaxed

- total energy (eV per cell) = -149.716
- raw formation energy (eV/atom) = -0.59
- Fermi-level density of states (states/eV/f.u.) = 6.29
- magnetization (μB per cell) = 0.0

Cell lengths 8.8494, 13.9291, 6.3202 Å; angles 90.00, 114.08, 90.00 degrees
With the nearest neighbours (Å) after each atom.
Space group C2/c (No. 15)
Inequivalent atoms, fractional coordinates:
Y 0.1019 0.1906 0.0627 x8  2 Sb 3.19-3.20, 2 Bi 3.27-3.40, 4 Y 3.45-3.52
Y 0.2027 0.4114 0.3349 x8  2 Sb 3.12-3.14, 2 Bi 3.26-3.40, 2 Y 3.30-3.46
Bi 0.0000 0.3864 0.7500 x4  8 Y 3.26-3.40
Sb 0.0000 0.0016 0.7500 x4  8 Y 3.12-3.20, 2 Sb 3.16



Compound: Y4Bi3Sb
Source: Alexandria
Functional: GGA-PBE
Structure: relaxed

- total energy (eV per cell) = -98.668
- raw formation energy (eV/atom) = -0.96
- Fermi-level density of states (states/eV/f.u.) = 0.81
- magnetization (μB per cell) = 0.0

Cell lengths 7.7197, 8.9334, 7.7183 Å; angles 90.00, 109.49, 90.00 degrees
With the nearest neighbours (Å) after each atom.
Space group P2/c (No. 13)
Inequivalent atoms, fractional coordinates:
Y 0.2454 0.1224 0.0006 x4  2 Sb 3.12, 4 Bi 3.15-3.18
Y 0.2483 0.3724 0.4973 x4  1 Sb 3.13, 5 Bi 3.15-3.19
Bi 0.0000 0.3747 0.7500 x2  6 Y 3.16
Bi 0.5000 0.1249 0.7500 x2  6 Y 3.15-3.18
Bi 0.5000 0.3749 0.2500 x2  6 Y 3.15-3.19
Sb 0.0000 0.1247 0.2500 x2  6 Y 3.12-3.13



Compound: ZnBi2Sb
Source: Alexandria
Functional: GGA-PBE
Structure: relaxed

- total energy (eV per cell) = -38.020
- raw formation energy (eV/atom) = 0.12
- energy above the most stable polymorph in this dataset (eV per atom) = 0.0000
- Fermi-level density of states (states/eV/f.u.) = 2.79
- magnetization (μB per cell) = 0.0

Cell lengths 4.4167, 4.4167, 20.5799 Å; angles 90.00, 90.00, 120.00 degrees
With the nearest neighbours (Å) after each atom.
Space group R-3m (No. 166, hexagonal axes)
Inequivalent atoms, fractional coordinates:
Zn 0.0000 0.0000 0.0000 x3  6 Bi 2.96
Bi 0.0000 0.0000 0.2600 x6  3 Zn 2.96, 3 Sb 3.19
Sb 0.0000 0.0000 0.5000 x3  6 Bi 3.19



Compound: ZnBi2Sb
Source: Alexandria
Functional: GGA-PBE
Structure: relaxed

- total energy (eV per cell) = -49.556
- raw formation energy (eV/atom) = 0.19
- energy above the most stable polymorph in this dataset (eV per atom) = 0.0711
- Fermi-level density of states (states/eV/f.u.) = 4.99
- magnetization (μB per cell) = 0.0

Cell lengths 6.6250, 6.6250, 13.6919 Å; angles 90.00, 90.00, 90.00 degrees
With the nearest neighbours (Å) after each atom.
Space group I-42d (No. 122)
Inequivalent atoms, fractional coordinates:
Zn 0.0000 0.0000 0.0000 x4  4 Bi 2.77
Bi 0.2139 0.2500 0.1250 x8  2 Zn 2.77, 2 Sb 3.04
Sb 0.0000 0.0000 0.5000 x4  4 Bi 3.04



Compound: Zn3BiSb
Source: Alexandria
Functional: GGA-PBE
Structure: relaxed

- total energy (eV per cell) = -9.293
- raw formation energy (eV/atom) = 0.51
- energy above the most stable polymorph in this dataset (eV per atom) = 0.4129
- Fermi-level density of states (states/eV/f.u.) = 4.40
- magnetization (μB per cell) = 0.6

Cell lengths 5.1973, 5.1973, 5.1973 Å; angles 90.00, 90.00, 90.00 degrees
With the nearest neighbours (Å) after each atom.
Space group Pm-3m (No. 221)
Inequivalent atoms, fractional coordinates:
Zn 0.0000 0.0000 0.5000 x3  2 Sb 2.60
Bi 0.5000 0.5000 0.5000 x1  12 Zn 3.68
Sb 0.0000 0.0000 0.0000 x1  6 Zn 2.60



Compound: Zn2BiSb
Source: Alexandria
Functional: GGA-PBE
Structure: relaxed

- total energy (eV per cell) = -20.189
- raw formation energy (eV/atom) = 0.11
- Fermi-level density of states (states/eV/f.u.) = 0.70
- magnetization (μB per cell) = 0.0

Cell lengths 3.5166, 7.9014, 8.7583 Å; angles 114.08, 90.23, 91.08 degrees
With the nearest neighbours (Å) after each atom.
Space group P1 (No. 1)
Inequivalent atoms, fractional coordinates:
Zn 0.0000 0.0000 0.0000 x1  3 Sb 2.75-2.95, 1 Bi 2.79
Zn 0.0092 0.7492 0.3828 x1  3 Sb 2.72-3.03, 1 Bi 2.78
Zn 0.4529 0.4895 0.0017 x1  2 Sb 2.73-2.77, 1 Bi 2.79
Zn 0.4724 0.2389 0.3848 x1  3 Sb 2.75-2.93, 1 Bi 2.79
Bi 0.6601 0.9265 0.6907 x1  2 Zn 2.78-2.79, 1 Bi 3.08
Bi 0.8085 0.3135 0.6950 x1  2 Zn 2.79, 1 Bi 3.08
Sb 0.0177 0.3747 0.2056 x1  5 Zn 2.72-2.93
Sb 0.4503 0.8641 0.1798 x1  6 Zn 2.73-3.03



Compound: Zn3BiSb
Source: Alexandria
Functional: GGA-PBE
Structure: relaxed

- total energy (eV per cell) = -68.145
- raw formation energy (eV/atom) = 0.09
- energy above the most stable polymorph in this dataset (eV per atom) = 0.0000
- Fermi-level density of states (states/eV/f.u.) = 0.25
- magnetization (μB per cell) = 0.0

Cell lengths 6.9300, 6.9300, 17.0660 Å; angles 90.00, 90.00, 120.00 degrees
With the nearest neighbours (Å) after each atom.
Space group R3c (No. 161, hexagonal axes)
Inequivalent atoms, fractional coordinates:
Zn 0.1141 0.4326 0.0000 x18  2 Sb 2.71-2.98, 2 Zn 2.73, 1 Bi 2.83
Bi 0.0000 0.0000 0.1810 x6  6 Zn 2.83-3.04
Sb 0.0000 0.0000 0.4820 x6  6 Zn 2.71-2.98



Compound: ZnBi2Sb
Source: Alexandria
Functional: GGA-PBE
Structure: relaxed

- total energy (eV per cell) = -49.275
- raw formation energy (eV/atom) = 0.21
- energy above the most stable polymorph in this dataset (eV per atom) = 0.0886
- Fermi-level density of states (states/eV/f.u.) = 1.89
- magnetization (μB per cell) = 0.0

Cell lengths 7.6143, 7.6143, 7.6143 Å; angles 90.00, 90.00, 90.00 degrees
With the nearest neighbours (Å) after each atom.
Space group Fm-3m (No. 225)
Inequivalent atoms, fractional coordinates:
Zn 0.0000 0.0000 0.0000 x4  8 Bi 3.30
Bi 0.2500 0.2500 0.2500 x8  4 Sb 3.30, 4 Zn 3.30
Sb 0.0000 0.0000 0.5000 x4  8 Bi 3.30